[1]
This record from Alexandria via LeMat-Bulk describes an optimized crystal structure of Ta2OsI. The functional is PBE.

Geometry as POSCAR:
```
Ta2OsI
1.0
5.6578 0.0000 0.0000
0.0000 5.6578 0.0000
2.8289 2.8289 6.8324
I Os Ta
2 2 4
direct
0.5000 0.5000 0.0000 I
0.2500 0.7500 0.5000 I
0.0000 0.0000 0.0000 Os
0.7500 0.2500 0.5000 Os
0.6854 0.1250 0.2500 Ta
0.0646 0.6250 0.2500 Ta
0.3750 0.3146 0.7500 Ta
0.8750 0.9354 0.7500 Ta
```

ρ: 10.3 g cm⁻³
Uncorrected energy: -7.926 eV per atom
SG: No. 122
Uncorrected formation energy: 1195.8 meV/atom
Size of the total moment: 0.00 μB/cell

***

[2]
This record from Alexandria via LeMat-Bulk describes an optimized crystal structure of Sr2LaBeS. The functional is PBE.

Geometry as POSCAR:
```
Sr2LaBeS
1.0
5.7502 0.0000 0.0000
0.0000 5.2518 0.0000
0.0000 0.0000 5.7502
Sr S Be La
2 1 1 1
direct
0.0000 0.0000 0.5000 Sr
0.5000 0.0000 0.0000 Sr
0.5000 0.5000 0.5000 S
0.0000 0.0000 0.0000 Be
0.0000 0.5000 0.0000 La
```

ρ: 3.4 g cm⁻³
Uncorrected energy: -3.221 eV per atom
SG: No. 123
Uncorrected formation energy: 8.1 meV/atom
Size of the total moment: 0.00 μB/cell

***

[3]
This record from Alexandria via LeMat-Bulk describes an optimized crystal structure of Ba2SrPrSe4. The functional is PBE.

Geometry as POSCAR:
```
Ba2SrPrSe4
1.0
-1.6469 0.9607 -4.0682
1.2277 -7.3744 -2.2384
-7.2424 0.6019 3.0741
Ba Sr Pr Se
2 1 1 4
direct
0.5000 0.0000 0.5000 Ba
0.0000 0.5000 0.5000 Ba
0.0000 0.0000 0.0000 Sr
0.5000 0.5000 0.0000 Pr
0.5000 0.2500 0.2290 Se
0.5000 0.7500 0.7710 Se
0.0000 0.2636 0.7737 Se
0.0000 0.7364 0.2263 Se
```

ρ: 5.2 g cm⁻³
Uncorrected energy: -5.007 eV per atom
SG: No. 10
Uncorrected formation energy: -1976.8 meV/atom
Size of the total moment: 0.00 μB/cell

***

[4]
This record from Alexandria via LeMat-Bulk describes an optimized crystal structure of TmCd3Au4. The functional is PBE.

Geometry as POSCAR:
```
TmCd3Au4
1.0
4.7105 0.0000 -1.2715
-0.3378 4.7030 -1.2515
-0.4829 -0.5502 7.5722
Tm Au Cd
1 4 3
direct
0.5000 0.0000 0.0000 Tm
0.3738 0.3736 0.7477 Au
0.6262 0.6264 0.2523 Au
0.1262 0.1261 0.2523 Au
0.8738 0.8739 0.7477 Au
0.0000 0.5000 0.0000 Cd
0.7519 0.2521 0.5038 Cd
0.2481 0.7479 0.4962 Cd
```

ρ: 13.3 g cm⁻³
ΔH_f (0 K): -329 kJ/mol of formula units
Uncorrected energy: -2.967 eV per atom
SG: No. 139
Size of the total moment: 0.00 μB/cell

***

[5]
This record from Alexandria via LeMat-Bulk describes an optimized crystal structure of Pr6Zn3Ag. The functional is PBE.

Geometry as POSCAR:
```
Pr6Zn3Ag
1.0
-6.7212 -0.2141 -4.5806
1.0373 -7.7292 -1.1608
-5.2357 -1.8227 7.4583
Pr Zn Ag
12 6 2
direct
0.6545 0.1549 0.9308 Pr
0.6722 0.1694 0.5658 Pr
0.7454 0.3912 0.2371 Pr
0.2546 0.6088 0.7629 Pr
0.3278 0.8306 0.4342 Pr
0.3455 0.8451 0.0692 Pr
0.1545 0.3451 0.4308 Pr
0.1722 0.3306 0.0658 Pr
0.2454 0.1088 0.7371 Pr
0.7546 0.8912 0.2629 Pr
0.8278 0.6694 0.9342 Pr
0.8455 0.6549 0.5692 Pr
0.5526 0.8465 0.7382 Zn
0.5000 0.5000 0.0000 Zn
0.4474 0.1535 0.2618 Zn
0.0526 0.6535 0.2382 Zn
0.0000 0.0000 0.5000 Zn
0.9474 0.3465 0.7618 Zn
0.5000 0.5000 0.5000 Ag
0.0000 0.0000 0.0000 Ag
```

ρ: 6.4 g cm⁻³
ΔH_f (0 K): -40 kJ/mol of formula units
Uncorrected energy: -3.576 eV per atom
SG: No. 14
Size of the total moment: 0.00 μB/cell

***

[6]
This record from Alexandria via LeMat-Bulk describes an optimized crystal structure of Ho2Sc2Hg3. The functional is PBE.

Geometry as POSCAR:
```
Ho2Sc2Hg3
1.0
3.6306 0.0000 0.4818
0.0000 3.5924 0.0000
0.0602 0.0000 13.4661
Ho Sc Hg
2 2 3
direct
0.5709 0.5000 0.8581 Ho
0.4291 0.5000 0.1419 Ho
0.7016 0.5000 0.5968 Sc
0.2984 0.5000 0.4032 Sc
0.8552 0.0000 0.2896 Hg
0.0000 0.0000 0.0000 Hg
0.1448 0.0000 0.7104 Hg
```

ρ: 9.7 g cm⁻³
ΔH_f (0 K): -192 kJ/mol of formula units
Uncorrected energy: -3.530 eV per atom
SG: No. 65
Size of the total moment: 1.24 μB/cell

***

[7]
This record from Alexandria via LeMat-Bulk describes an optimized crystal structure of CoHgPb2. The functional is PBE.

Geometry as POSCAR:
```
CoHgPb2
1.0
3.3388 0.0000 0.0000
0.0000 6.5170 0.2907
0.0000 4.3326 4.8808
Co Hg Pb
1 1 2
direct
0.0000 0.5027 0.5022 Co
0.5000 0.6767 0.6774 Hg
0.0000 0.9942 0.9937 Pb
0.5000 0.3264 0.3267 Pb
```

ρ: 11.0 g cm⁻³
ΔH_f (0 K): 121 kJ/mol of formula units
Uncorrected energy: -3.392 eV per atom
SG: No. 38
Size of the total moment: 0.55 μB/cell

***

[8]
This record from Alexandria via LeMat-Bulk describes an optimized crystal structure of ZrAs2Ru. The functional is PBE.

Geometry as POSCAR:
```
ZrAs2Ru
1.0
6.0841 0.0024 -0.0014
3.9859 4.5966 0.0014
-5.0224 -2.3272 2.5251
Ru As Zr
1 2 1
direct
0.4596 0.4596 0.0000 Ru
0.0278 0.0278 0.0000 As
0.2999 0.7999 0.5000 As
0.7127 0.2127 0.5000 Zr
```

ρ: 8.0 g cm⁻³
ΔH_f (0 K): -233 kJ/mol of formula units
Uncorrected energy: -7.386 eV per atom
SG: No. 44
Size of the total moment: 0.00 μB/cell

***

[9]
This record from Alexandria via LeMat-Bulk describes an optimized crystal structure of Tb2Y2HoEr. The functional is PBE.

Geometry as POSCAR:
```
Tb2Y2HoEr
1.0
-2.8481 -4.7894 0.6441
4.2007 -3.1239 -4.6530
5.9737 -2.5930 7.1339
Tb Y Ho Er
4 4 2 2
direct
0.0000 0.2575 0.8200 Tb
0.5000 0.2577 0.3468 Tb
0.0000 0.7575 0.1800 Tb
0.5000 0.7577 0.6532 Tb
0.5000 0.0076 0.0001 Y
0.0000 0.2576 0.1571 Y
0.5000 0.5076 0.9999 Y
0.0000 0.7576 0.8429 Y
0.5000 0.2576 0.6775 Ho
0.5000 0.7576 0.3225 Ho
0.0000 0.0076 0.4999 Er
0.0000 0.5076 0.5001 Er
```

ρ: 7.2 g cm⁻³
ΔH_f (0 K): 38 kJ/mol of formula units
Uncorrected energy: -5.156 eV per atom
SG: No. 51
Size of the total moment: 0.00 μB/cell

***

[10]
This record from Alexandria via LeMat-Bulk describes an optimized crystal structure of LiNdYFe. The functional is PBE.

Geometry as POSCAR:
```
LiNdYFe
1.0
4.9725 0.0000 0.0000
2.4863 4.3063 0.0000
2.4863 1.4354 4.0600
Y Nd Fe Li
1 1 1 1
direct
0.0000 0.0000 0.0000 Y
0.5000 0.5000 0.5000 Nd
0.2500 0.2500 0.2500 Fe
0.7500 0.7500 0.7500 Li
```

ρ: 5.7 g cm⁻³
ΔH_f (0 K): 55 kJ/mol of formula units
Uncorrected energy: -5.259 eV per atom
SG: No. 216
Size of the total moment: 0.74 μB/cell

***

[11]
This record from Alexandria via LeMat-Bulk describes an optimized crystal structure of K3Pm2ZrS6. The functional is PBE.

Geometry as POSCAR:
```
K3Pm2ZrS6
1.0
6.9747 -0.0012 -0.0019
-3.4867 6.0406 -0.0019
-1.1653 -2.0178 7.4130
K Pm Zr S
3 2 1 6
direct
0.1697 0.8303 0.5000 K
0.8303 0.1697 0.5000 K
0.5000 0.5000 0.5000 K
0.3336 0.6664 0.0000 Pm
0.6664 0.3336 0.0000 Pm
0.0000 0.0000 0.0000 Zr
0.9317 0.6181 0.7954 S
0.7553 0.7553 0.2049 S
0.0683 0.3819 0.2046 S
0.6181 0.9317 0.7954 S
0.2447 0.2447 0.7951 S
0.3819 0.0683 0.2046 S
```

ρ: 3.7 g cm⁻³
Uncorrected energy: -5.552 eV per atom
SG: No. 12
Uncorrected formation energy: -1709.5 meV/atom
Size of the total moment: 0.00 μB/cell

***

[12]
This record from Alexandria via LeMat-Bulk describes an optimized crystal structure of Re2MoP. The functional is PBE.

Geometry as POSCAR:
```
Re2MoP
1.0
-4.6910 -0.2651 -0.8480
-3.7540 -2.9499 0.0212
-1.9923 0.6081 4.0259
Re Mo P
2 1 1
direct
0.9956 0.9956 0.9582 Re
0.7386 0.7386 0.8199 Re
0.5143 0.5143 0.4392 Mo
0.2515 0.2515 0.2827 P
```

ρ: 14.1 g cm⁻³
ΔH_f (0 K): 26 kJ/mol of formula units
Uncorrected energy: -10.216 eV per atom
SG: No. 8
Size of the total moment: 0.00 μB/cell

***

[13]
This record from Alexandria via LeMat-Bulk describes an optimized crystal structure of ErLuNiRh. The functional is PBE.

Geometry as POSCAR:
```
ErLuNiRh
1.0
4.7464 0.0000 0.0000
2.3732 4.1105 0.0000
2.3732 1.3702 3.8754
Ni Lu Rh Er
1 1 1 1
direct
0.2500 0.2500 0.2500 Ni
0.5000 0.5000 0.5000 Lu
0.7500 0.7500 0.7500 Rh
0.0000 0.0000 0.0000 Er
```

ρ: 11.1 g cm⁻³
ΔH_f (0 K): -273 kJ/mol of formula units
Uncorrected energy: -6.262 eV per atom
SG: No. 216
Size of the total moment: 0.00 μB/cell

***

[14]
This record from Alexandria via LeMat-Bulk describes an optimized crystal structure of NaLaTe3Pb. The functional is PBE.

Geometry as POSCAR:
```
NaLaTe3Pb
1.0
-0.6794 -0.2744 4.4319
4.9422 -7.9620 0.2647
7.0703 7.5543 1.5516
Na La Te Pb
2 2 6 2
direct
0.2500 0.1202 0.6034 Na
0.7500 0.8798 0.3966 Na
0.2500 0.1865 0.2257 La
0.7500 0.8135 0.7743 La
0.7500 0.9140 0.1069 Te
0.2500 0.0860 0.8931 Te
0.2500 0.7708 0.5433 Te
0.7500 0.2292 0.4567 Te
0.7500 0.4231 0.1639 Te
0.2500 0.5769 0.8361 Te
0.2500 0.6725 0.1368 Pb
0.7500 0.3275 0.8632 Pb
```

ρ: 5.9 g cm⁻³
Uncorrected energy: -4.196 eV per atom
SG: No. 11
Uncorrected formation energy: -966.3 meV/atom
Size of the total moment: 0.00 μB/cell